# Pm3SnGe (PBE, optimized geometry)
# - Energy relative to the elements: -670 meV per atom
# - Total energy: -5.244 eV/atom
data_Pm3SnGe
_cell_length_a 4.5762
_cell_length_b 7.0107
_cell_length_c 9.5091
_cell_angle_alpha 90.00
_cell_angle_beta 90.00
_cell_angle_gamma 90.00
_symmetry_space_group_name_H-M 'P m m n'
_symmetry_Int_Tables_number 59
loop_
_symmetry_equiv_pos_as_xyz
'x,y,z'
'-x,-y,-z'
'-x+1/2,-y+1/2,z'
'x+1/2,y+1/2,-z'
'x+1/2,-y,-z'
'-x+1/2,y,z'
'-x,y+1/2,-z'
'x,-y+1/2,z'
loop_
_atom_site_label
_atom_site_type_symbol
_atom_site_fract_x
_atom_site_fract_y
_atom_site_fract_z
Pm1 Pm 0.2500 0.0141 0.1668
Pm2 Pm 0.2500 0.2500 0.5787
Sn1 Sn 0.2500 0.7500 0.6425
Ge1 Ge 0.2500 0.2500 0.8974